DFT (PBE) results for crystalline TbDy2Pd4 at its relaxed geometry.

POSCAR file:
```
TbDy2Pd4
1.0
-2.766 -4.465 -1.251
2.690 -4.680 -0.140
-1.322 2.487 6.971
Tb Pd Dy
1 4 2
direct
0.000 0.000 0.000 Tb
0.651 0.651 0.647 Pd
0.349 0.349 0.353 Pd
0.000 0.500 0.000 Pd
0.500 0.000 0.000 Pd
0.248 0.248 0.651 Dy
0.752 0.752 0.349 Dy
```

Formation enthalpy at 0 K   -53.39 kJ per mole of atoms
Calculated total energy   -5.497 eV/atom

***

DFT (PBE) results for crystalline RbTm2Br7 at its relaxed geometry.

POSCAR file:
```
RbTm2Br7
1.0
-2.981 -4.031 -2.331
4.605 -5.794 4.131
-6.936 2.841 3.957
Br Tm Rb
7 2 1
direct
0.000 0.298 0.702 Br
0.500 0.328 0.048 Br
0.500 0.952 0.672 Br
0.000 0.702 0.298 Br
0.500 0.048 0.328 Br
0.500 0.500 0.500 Br
0.500 0.672 0.952 Br
0.500 0.303 0.697 Tm
0.500 0.697 0.303 Tm
0.000 0.000 0.000 Rb
```

Calculated total energy   -3.951 eV/atom
E_form (uncorrected)   -1.79 eV/atom

***

DFT (PBE) results for crystalline SmHoGeS at its relaxed geometry.

POSCAR file:
```
SmHoGeS
1.0
4.079 0.000 0.000
2.039 3.532 0.000
2.039 1.177 6.697
Ge Ho S Sm
1 1 1 1
direct
0.942 0.942 0.175 Ge
0.194 0.194 0.419 Ho
0.447 0.447 0.660 S
0.694 0.694 0.918 Sm
```

Calculated total energy   -5.956 eV/atom
E_form (uncorrected)   -1.45 eV/atom

***

DFT (PBE) results for crystalline CsAgTeIrSe at its relaxed geometry.

POSCAR file:
```
CsAgTeIrSe
1.0
3.951 0.003 0.004
1.602 5.346 0.002
1.579 2.306 7.582
Cs Se Ag Ir Te
1 1 1 1 1
direct
0.750 0.369 0.982 Cs
0.136 0.913 0.701 Se
0.779 0.352 0.505 Ag
0.733 0.857 0.515 Ir
0.339 0.797 0.315 Te
```

Calculated total energy   -4.137 eV/atom
E_form (uncorrected)   -0.30 eV/atom

***

DFT (PBE) results for crystalline Tm12Cu3H5 at its relaxed geometry.

POSCAR file:
```
Tm12Cu3H5
1.0
-2.524 -6.316 10.907
11.564 -3.491 -4.396
-0.084 12.654 2.258
Tm Cu H
48 12 20
direct
0.597 0.885 0.405 Tm
0.979 0.385 0.288 Tm
0.809 0.905 0.021 Tm
0.212 0.521 0.615 Tm
0.595 0.615 0.403 Tm
0.191 0.097 0.712 Tm
0.905 0.809 0.521 Tm
0.097 0.905 0.385 Tm
0.288 0.403 0.809 Tm
0.885 0.597 0.905 Tm
0.385 0.979 0.788 Tm
0.479 0.788 0.885 Tm
0.788 0.479 0.385 Tm
0.212 0.691 0.097 Tm
0.712 0.115 0.021 Tm
0.403 0.115 0.595 Tm
0.309 0.788 0.403 Tm
0.979 0.595 0.191 Tm
0.115 0.712 0.521 Tm
0.191 0.095 0.979 Tm
0.903 0.809 0.788 Tm
0.097 0.191 0.212 Tm
0.885 0.288 0.479 Tm
0.385 0.405 0.097 Tm
0.479 0.691 0.095 Tm
0.788 0.309 0.903 Tm
0.712 0.597 0.191 Tm
0.691 0.479 0.595 Tm
0.595 0.979 0.691 Tm
0.021 0.615 0.712 Tm
0.691 0.212 0.597 Tm
0.809 0.903 0.288 Tm
0.115 0.403 0.095 Tm
0.021 0.405 0.809 Tm
0.521 0.309 0.905 Tm
0.615 0.595 0.903 Tm
0.615 0.021 0.212 Tm
0.288 0.885 0.979 Tm
0.903 0.095 0.615 Tm
0.403 0.288 0.309 Tm
0.905 0.097 0.885 Tm
0.521 0.212 0.115 Tm
0.405 0.021 0.309 Tm
0.095 0.191 0.479 Tm
0.095 0.903 0.115 Tm
0.309 0.521 0.405 Tm
0.597 0.712 0.691 Tm
0.405 0.385 0.597 Tm
0.750 0.375 0.125 Cu
0.750 0.875 0.625 Cu
0.875 0.125 0.250 Cu
0.375 0.750 0.625 Cu
0.250 0.625 0.875 Cu
0.125 0.875 0.750 Cu
0.250 0.125 0.375 Cu
0.875 0.750 0.125 Cu
0.125 0.250 0.875 Cu
0.625 0.250 0.375 Cu
0.375 0.625 0.250 Cu
0.625 0.375 0.750 Cu
0.500 0.000 0.500 H
0.625 0.875 0.250 H
0.625 0.750 0.875 H
0.500 0.500 0.500 H
0.500 0.500 0.000 H
0.500 0.000 0.000 H
0.000 0.500 0.500 H
0.250 0.875 0.125 H
0.125 0.750 0.375 H
0.250 0.375 0.625 H
0.875 0.625 0.750 H
0.375 0.250 0.125 H
0.000 0.000 0.000 H
0.750 0.625 0.375 H
0.875 0.250 0.625 H
0.000 0.500 0.000 H
0.375 0.125 0.750 H
0.750 0.125 0.875 H
0.000 0.000 0.500 H
0.125 0.375 0.250 H
```

Calculated total energy   -4.357 eV/atom

***

DFT (PBE) results for crystalline KAlSiO4 at its relaxed geometry.

POSCAR file:
```
KAlSiO4
1.0
9.166 0.000 0.000
0.000 8.707 -0.001
0.000 0.057 15.861
Al O Si K
12 48 12 12
direct
0.156 0.936 0.724 Al
0.675 0.933 0.601 Al
0.834 0.565 0.113 Al
0.164 0.938 0.055 Al
0.344 0.564 0.562 Al
0.324 0.567 0.231 Al
0.664 0.062 0.945 Al
0.334 0.435 0.887 Al
0.824 0.433 0.769 Al
0.844 0.436 0.438 Al
0.656 0.064 0.276 Al
0.175 0.067 0.399 Al
0.491 0.989 0.920 O
0.793 0.038 0.200 O
0.205 0.466 0.966 O
0.843 0.761 0.136 O
0.678 0.738 0.574 O
0.780 0.239 0.754 O
0.718 0.987 0.374 O
0.516 0.478 0.581 O
0.707 0.972 0.041 O
0.216 0.044 0.291 O
0.716 0.956 0.709 O
0.280 0.761 0.246 O
0.351 0.760 0.577 O
0.016 0.522 0.419 O
0.991 0.011 0.080 O
0.343 0.239 0.864 O
0.506 0.509 0.916 O
0.666 0.261 0.963 O
0.710 0.509 0.368 O
0.995 0.034 0.748 O
0.790 0.491 0.874 O
0.295 0.991 0.132 O
0.166 0.739 0.037 O
0.808 0.019 0.536 O
0.288 0.533 0.793 O
0.218 0.013 0.626 O
0.511 0.540 0.248 O
0.495 0.966 0.252 O
0.006 0.491 0.084 O
0.011 0.460 0.752 O
0.207 0.028 0.959 O
0.209 0.462 0.299 O
0.504 0.022 0.584 O
0.293 0.962 0.800 O
0.788 0.467 0.207 O
0.851 0.240 0.423 O
0.004 0.978 0.416 O
0.612 0.261 0.281 O
0.210 0.491 0.632 O
0.178 0.262 0.426 O
0.802 0.472 0.544 O
0.308 0.981 0.464 O
0.290 0.509 0.126 O
0.112 0.739 0.719 O
0.795 0.009 0.868 O
0.709 0.538 0.701 O
0.705 0.534 0.034 O
0.302 0.528 0.456 O
0.666 0.446 0.945 Si
0.844 0.056 0.437 Si
0.833 0.944 0.113 Si
0.166 0.554 0.055 Si
0.344 0.944 0.563 Si
0.676 0.558 0.600 Si
0.323 0.941 0.231 Si
0.333 0.056 0.887 Si
0.156 0.556 0.725 Si
0.176 0.442 0.400 Si
0.656 0.444 0.275 Si
0.823 0.059 0.769 Si
0.026 0.252 0.209 K
0.526 0.748 0.791 K
0.015 0.248 0.605 K
0.004 0.748 0.548 K
0.496 0.752 0.055 K
0.996 0.248 0.945 K
0.479 0.252 0.109 K
0.973 0.751 0.294 K
0.515 0.752 0.395 K
0.473 0.249 0.706 K
0.979 0.748 0.891 K
0.504 0.252 0.452 K
```

Calculated total energy   -7.091 eV/atom
E_form (uncorrected)   -2.79 eV/atom

***

DFT (PBE) results for crystalline HfSnBi3 at its relaxed geometry.

POSCAR file:
```
HfSnBi3
1.0
5.668 0.000 0.000
0.000 5.668 0.000
0.000 0.000 5.668
Sn Hf Bi
1 1 3
direct
0.000 0.000 0.000 Sn
0.500 0.500 0.500 Hf
0.500 0.000 0.000 Bi
0.000 0.000 0.500 Bi
0.000 0.500 0.000 Bi
```

Formation enthalpy at 0 K   108.05 kJ per mole of atoms
Calculated total energy   -4.000 eV/atom

***

DFT (PBE) results for crystalline Sn3SbIr at its relaxed geometry.

POSCAR file:
```
Sn3SbIr
1.0
-4.077 -1.901 2.557
0.134 -4.252 -2.946
3.183 -2.255 3.400
Sn Sb Ir
3 1 1
direct
0.000 0.500 0.000 Sn
0.000 0.000 0.500 Sn
0.500 0.000 0.000 Sn
0.500 0.500 0.500 Sb
0.000 0.000 0.000 Ir
```

Calculated total energy   -4.943 eV/atom
E_form (uncorrected)   0.06 eV/atom

***

DFT (PBE) results for crystalline Th2ScHg at its relaxed geometry.

POSCAR file:
```
Th2ScHg
1.0
4.894 0.000 0.000
0.000 4.739 0.000
0.000 0.000 4.739
Sc Th Hg
1 2 1
direct
0.500 0.000 0.000 Sc
0.000 0.000 0.500 Th
0.000 0.500 0.000 Th
0.500 0.500 0.500 Hg
```

Formation enthalpy at 0 K   -7.43 kJ per mole of atoms
Calculated total energy   -5.445 eV/atom

***

DFT (PBE) results for crystalline Pm2Tm12Th5 at its relaxed geometry.

POSCAR file:
```
Pm2Tm12Th5
1.0
6.933 0.000 0.000
-3.466 10.839 0.806
0.000 2.139 8.314
Th Tm Pm
5 12 2
direct
0.347 0.694 0.092 Th
0.653 0.306 0.908 Th
0.000 0.000 0.500 Th
0.248 0.496 0.507 Th
0.752 0.504 0.493 Th
0.152 0.303 0.918 Tm
0.452 0.400 0.211 Tm
0.051 0.600 0.789 Tm
0.848 0.697 0.082 Tm
0.547 0.094 0.311 Tm
0.150 0.783 0.381 Tm
0.949 0.400 0.211 Tm
0.367 0.217 0.619 Tm
0.453 0.906 0.689 Tm
0.633 0.783 0.381 Tm
0.850 0.217 0.619 Tm
0.548 0.600 0.789 Tm
0.748 0.000 0.000 Pm
0.252 0.000 0.000 Pm
```

Formation enthalpy at 0 K   15.36 kJ per mole of atoms
Calculated total energy   -5.118 eV/atom

***

DFT (PBE) results for crystalline AgPtW2 at its relaxed geometry.

POSCAR file:
```
AgPtW2
1.0
4.288 0.000 0.000
0.000 2.726 0.024
0.000 2.696 5.503
W Ag Pt
2 1 1
direct
0.000 0.494 0.504 W
0.000 0.006 0.996 W
0.500 0.250 0.250 Ag
0.500 0.750 0.750 Pt
```

Formation enthalpy at 0 K   28.71 kJ per mole of atoms
Calculated total energy   -8.402 eV/atom

***

DFT (PBE) results for crystalline Pr4DyIn3 at its relaxed geometry.

POSCAR file:
```
Pr4DyIn3
1.0
3.912 0.000 0.000
0.000 4.918 2.072
-1.956 2.795 13.996
Pr In Dy
4 3 1
direct
0.126 0.623 0.251 Pr
0.874 0.377 0.749 Pr
0.228 0.817 0.455 Pr
0.772 0.183 0.545 Pr
0.603 0.192 0.205 In
0.397 0.808 0.795 In
0.000 0.500 0.000 In
0.500 0.000 0.000 Dy
```

Formation enthalpy at 0 K   -24.84 kJ per mole of atoms
Calculated total energy   -4.249 eV/atom

***

DFT (PBE) results for crystalline YSi2Ir at its relaxed geometry.

POSCAR file:
```
YSi2Ir
1.0
3.120 0.000 0.000
0.000 3.120 0.000
0.000 0.000 6.908
Si Y Ir
2 1 1
direct
0.000 0.000 0.549 Si
0.000 0.000 0.951 Si
0.500 0.500 0.250 Y
0.500 0.500 0.750 Ir
```

Calculated total energy   -6.966 eV/atom
E_form (uncorrected)   -0.42 eV/atom

***

DFT (PBE) results for crystalline Cr3AsI at its relaxed geometry.

POSCAR file:
```
Cr3AsI
1.0
-3.396 -1.027 3.559
3.135 -3.368 2.021
1.972 3.586 2.916
I As Cr
1 1 3
direct
0.500 0.500 0.500 I
0.000 0.000 0.000 As
0.500 0.000 0.000 Cr
0.000 0.500 0.000 Cr
0.000 0.000 0.500 Cr
```

Calculated total energy   -6.359 eV/atom
E_form (uncorrected)   0.66 eV/atom

***

DFT (PBE) results for crystalline AcEr12Tm6 at its relaxed geometry.

POSCAR file:
```
AcEr12Tm6
1.0
8.887 -1.034 -1.889
-2.106 8.696 -1.889
-0.915 -1.034 9.040
Tm Er Ac
6 12 1
direct
0.727 0.301 0.301 Tm
0.301 0.727 0.301 Tm
0.273 0.699 0.699 Tm
0.301 0.301 0.727 Tm
0.699 0.273 0.699 Tm
0.699 0.699 0.273 Tm
0.379 0.153 0.379 Er
0.888 0.112 0.500 Er
0.621 0.621 0.847 Er
0.112 0.888 0.500 Er
0.500 0.888 0.112 Er
0.500 0.112 0.888 Er
0.847 0.621 0.621 Er
0.379 0.379 0.153 Er
0.112 0.500 0.888 Er
0.621 0.847 0.621 Er
0.153 0.379 0.379 Er
0.888 0.500 0.112 Er
0.000 0.000 0.000 Ac
```

Formation enthalpy at 0 K   40.29 kJ per mole of atoms
Calculated total energy   -4.093 eV/atom

***

DFT (PBE) results for crystalline Be3ZnCd at its relaxed geometry.

POSCAR file:
```
Be3ZnCd
1.0
-1.735 -2.643 3.124
4.091 -1.195 1.261
0.090 3.368 2.899
Be Cd Zn
3 1 1
direct
0.000 0.000 0.500 Be
0.000 0.500 0.000 Be
0.500 0.000 0.000 Be
0.000 0.000 0.000 Cd
0.500 0.500 0.500 Zn
```

Formation enthalpy at 0 K   108.29 kJ per mole of atoms
Calculated total energy   -1.551 eV/atom

***

DFT (PBE) results for crystalline Ce2As7Rh12 at its relaxed geometry.

POSCAR file:
```
Ce2As7Rh12
1.0
-3.361 -1.995 -0.601
4.381 -5.167 -7.350
0.341 -3.403 9.393
Rh As Ce
12 7 2
direct
0.755 0.263 0.147 Rh
0.750 0.381 0.934 Rh
0.250 0.619 0.066 Rh
0.755 0.884 0.737 Rh
0.245 0.147 0.884 Rh
0.245 0.737 0.853 Rh
0.250 0.447 0.381 Rh
0.750 0.066 0.447 Rh
0.245 0.116 0.263 Rh
0.750 0.553 0.619 Rh
0.250 0.934 0.553 Rh
0.755 0.853 0.116 Rh
0.750 0.597 0.885 As
0.250 0.403 0.115 As
0.750 0.287 0.403 As
0.500 0.000 0.000 As
0.250 0.885 0.287 As
0.750 0.115 0.713 As
0.250 0.713 0.597 As
0.249 0.333 0.667 Ce
0.751 0.667 0.333 Ce
```

Formation enthalpy at 0 K   -67.61 kJ per mole of atoms
Calculated total energy   -7.016 eV/atom